--- w ---
CuP2Cl | Alexandria via LeMat-Bulk | PBE | optimized geometry; V = 106.8 Å³/f.u.; M_tot = 0.0670 μB/atom
1.0
-1.7136 -0.5415 -3.9532
3.9998 0.1568 1.6834
-0.1822 -8.0824 1.1860
P Cl Cu
2 1 1
Direct
0.0000 0.0000 0.9945
0.5000 0.5000 0.1657
0.0000 0.0000 0.5739
0.5000 0.5000 0.7660

---

--- x ---
CuP2Cl | Alexandria via LeMat-Bulk | PBE | optimized geometry; V = 86.8 Å³/f.u.; M_tot = 0.0000 μB/atom
1.0
3.2749 0.0000 0.0000
0.0000 4.1965 -0.3464
0.0000 -1.2369 6.4153
P Cl Cu
2 1 1
Direct
0.5000 0.2373 0.9842
0.0000 0.0284 0.1237
0.0000 0.5663 0.5651
0.5000 0.6680 0.8270

---

--- y ---
CuP2Cl | Alexandria via LeMat-Bulk | PBE | optimized geometry; V = 63.5 Å³/f.u.; M_tot = 0.0000 μB/atom
1.0
4.3567 -0.0287 -0.0496
-1.5616 4.0689 0.0957
1.2335 2.0920 3.6196
P Cu Cl
2 1 1
Direct
0.0000 0.0000 0.0000
0.5000 0.0000 0.5000
0.5000 0.5000 0.0000
0.0000 0.5000 0.5000

---

--- z ---
CuP2Cl | Alexandria via LeMat-Bulk | PBE | optimized geometry; V = 71.9 Å³/f.u.; M_tot = 0.0000 μB/atom
1.0
-2.4525 4.3082 4.0543
-5.6004 3.0731 0.4519
3.2603 -5.4655 -0.7149
Cl P Cu
1 2 1
Direct
0.5693 0.5693 0.0000
0.9022 0.9022 0.0000
0.7770 0.2770 0.5000
0.2515 0.7515 0.5000

---

Q: Which of them is the most stable? A: x.

---

--- w ---
CuPCl | Alexandria via LeMat-Bulk | PBE | optimized geometry; V = 60.2 Å³/f.u.; M_tot = 0.0000 μB/atom
1.0
-0.1826 -2.2583 2.6675
2.8940 -0.8447 1.7768
-0.9939 7.5735 8.6258
Cl Cu P
2 2 2
Direct
0.3859 0.3877 0.8435
0.6141 0.6123 0.1565
0.7538 0.7548 0.7416
0.2462 0.2452 0.2584
0.1840 0.1837 0.4479
0.8160 0.8163 0.5521

---

--- x ---
CuPCl | Alexandria via LeMat-Bulk | PBE | optimized geometry; V = 59.2 Å³/f.u.; M_tot = 0.0000 μB/atom
1.0
-2.3091 -4.1129 -3.1932
2.4688 -4.1988 -2.9529
-0.2020 2.7337 4.9930
P Cu Cl
1 1 1
Direct
0.7748 0.7748 0.0000
0.2442 0.2442 0.0000
0.9809 0.9809 0.0000

---

Q: Which of them is the most stable? A: w.

---

--- w ---
CuPCl | Alexandria via LeMat-Bulk | PBE | optimized geometry; V = 67.5 Å³/f.u.; M_tot = 0.0003 μB/atom
1.0
-7.6787 0.2215 -0.9582
-6.2690 -1.8268 -3.2719
-1.5631 -1.0520 2.8260
Cu Cl P
1 1 1
Direct
0.3339 0.3339 0.6661
0.9465 0.9465 0.0535
0.7196 0.7196 0.2804

---

--- x ---
CuPCl | Alexandria via LeMat-Bulk | PBE | optimized geometry; V = 58.1 Å³/f.u.; M_tot = 0.0002 μB/atom
1.0
4.3473 0.0000 0.0000
2.1737 3.7649 0.0000
2.1737 1.2550 3.5496
P Cu Cl
1 1 1
Direct
0.2500 0.2500 0.2500
0.5000 0.5000 0.5000
0.0000 0.0000 0.0000

---

--- y ---
CuPCl | Alexandria via LeMat-Bulk | PBE | optimized geometry; V = 60.4 Å³/f.u.; M_tot = 0.0000 μB/atom
1.0
-0.6429 -2.6886 1.6750
-0.7671 0.1732 -3.1351
6.0044 -2.4347 -1.6036
Cu P Cl
1 1 1
Direct
0.6667 0.3333 0.3326
0.3333 0.6667 0.5582
0.0000 0.0000 0.1092

---

--- z ---
CuPCl | Alexandria via LeMat-Bulk | PBE | optimized geometry; V = 55.0 Å³/f.u.; M_tot = 0.2252 μB/atom
1.0
-1.4116 -0.3954 -4.0104
1.2070 -3.3415 -2.3685
-2.8203 -3.0527 -0.9794
P Cl Cu
1 1 1
Direct
0.0000 0.0000 0.0000
0.5000 0.5000 0.5000
0.2500 0.2500 0.2500

---

Q: Which of them is the most stable? A: y.

---

--- w ---
CuPPbCl2 | Alexandria via LeMat-Bulk | PBE | optimized geometry; V = 161.5 Å³/f.u.; M_tot = 0.2416 μB/atom
1.0
5.3909 0.0000 0.0000
0.0000 5.3909 0.0000
0.0000 0.0000 5.5569
Cl P Pb Cu
2 1 1 1
Direct
0.5000 0.0000 0.0000
0.0000 0.5000 0.0000
0.0000 0.0000 0.5000
0.0000 0.0000 0.0000
0.5000 0.5000 0.5000

---

--- x ---
CuPPbCl2 | Alexandria via LeMat-Bulk | PBE | optimized geometry; V = 108.4 Å³/f.u.; M_tot = 0.0001 μB/atom
1.0
-4.2329 0.9416 1.8122
-1.9979 -2.7735 -3.2256
0.4420 -3.8385 3.0268
Pb P Cl Cu
1 1 2 1
Direct
0.5000 0.5000 0.5000
0.0000 0.0000 0.5000
0.0000 0.5000 0.0000
0.5000 0.0000 0.0000
0.0000 0.0000 0.0000

---

Q: Which of them is the most stable? A: x.

---

--- w ---
CuP2PtCl | Alexandria via LeMat-Bulk | PBE | optimized geometry; V = 110.4 Å³/f.u.; M_tot = 0.1696 μB/atom
1.0
-4.0646 -1.0890 -1.8857
1.0440 -4.4788 0.3363
-2.1518 -0.1470 4.7229
P Pt Cl Cu
2 1 1 1
Direct
0.5000 0.0000 0.0000
0.0000 0.5000 0.0000
0.0000 0.0000 0.0000
0.0000 0.0000 0.5000
0.5000 0.5000 0.5000

---

--- x ---
CuP2PtCl | Alexandria via LeMat-Bulk | PBE | optimized geometry; V = 95.3 Å³/f.u.; M_tot = 0.0000 μB/atom
1.0
-2.4512 0.5314 3.8099
-2.5914 -3.5896 -1.1666
2.8517 -2.7810 2.2226
Cu Cl P Pt
1 1 2 1
Direct
0.5000 0.5000 0.5000
0.0000 0.0000 0.0000
0.5000 0.0000 0.0000
0.0000 0.0000 0.5000
0.0000 0.5000 0.0000

---

Q: Which of them is the most stable? A: w.

---

--- w ---
CuPPtCl2 | Alexandria via LeMat-Bulk | PBE | optimized geometry; V = 101.6 Å³/f.u.; M_tot = 0.1236 μB/atom
1.0
4.3010 0.0000 0.0000
0.0000 4.3010 0.0000
0.0000 0.0000 5.4917
P Cu Pt Cl
1 1 1 2
Direct
0.0000 0.0000 0.5000
0.0000 0.0000 0.0000
0.5000 0.5000 0.5000
0.0000 0.5000 0.0000
0.5000 0.0000 0.0000

---

--- x ---
CuPPtCl2 | Alexandria via LeMat-Bulk | PBE | optimized geometry; V = 116.1 Å³/f.u.; M_tot = 0.0003 μB/atom
1.0
5.0728 0.0000 0.0000
0.0000 5.0728 0.0000
0.0000 0.0000 4.5122
Cl Pt Cu P
2 1 1 1
Direct
0.5000 0.0000 0.0000
0.0000 0.5000 0.0000
0.0000 0.0000 0.0000
0.5000 0.5000 0.5000
0.0000 0.0000 0.5000

---

Q: Which of them is the most stable? A: x.

---

--- w ---
CuP2RhCl | Alexandria via LeMat-Bulk | PBE | optimized geometry; V = 105.3 Å³/f.u.; M_tot = 0.0000 μB/atom
1.0
-1.5156 2.0740 3.6864
0.0502 -3.9068 2.2187
4.9089 0.9164 1.5026
Cu P Cl Rh
1 2 1 1
Direct
0.5000 0.5000 0.5000
0.0000 0.5000 0.0000
0.5000 0.0000 0.0000
0.0000 0.0000 0.5000
0.0000 0.0000 0.0000

---

--- x ---
CuP2RhCl | Alexandria via LeMat-Bulk | PBE | optimized geometry; V = 90.3 Å³/f.u.; M_tot = 0.0001 μB/atom
1.0
-3.6027 2.4505 -0.4436
0.4061 -0.1915 -4.3566
-2.6414 -3.8970 -0.0749
P Cl Rh Cu
2 1 1 1
Direct
0.0000 0.5000 0.0000
0.5000 0.0000 0.0000
0.0000 0.0000 0.5000
0.5000 0.5000 0.5000
0.0000 0.0000 0.0000

---

Q: Which of them is the most stable? A: w.

---

--- w ---
CuPRhCl2 | Alexandria via LeMat-Bulk | PBE | optimized geometry; V = 110.6 Å³/f.u.; M_tot = 0.0000 μB/atom
1.0
5.0187 0.0000 0.0000
0.0000 5.0187 0.0000
0.0000 0.0000 4.3926
Cl Rh Cu P
2 1 1 1
Direct
0.5000 0.0000 0.0000
0.0000 0.5000 0.0000
0.0000 0.0000 0.0000
0.5000 0.5000 0.5000
0.0000 0.0000 0.5000

---

--- x ---
CuPRhCl2 | Alexandria via LeMat-Bulk | PBE | optimized geometry; V = 97.7 Å³/f.u.; M_tot = 0.1595 μB/atom
1.0
-3.1821 -3.0999 -1.1623
3.2076 -2.4877 -2.1467
0.8271 -2.3208 3.9253
Rh Cu P Cl
1 1 1 2
Direct
0.5000 0.5000 0.5000
0.0000 0.0000 0.0000
0.0000 0.0000 0.5000
0.5000 0.0000 0.0000
0.0000 0.5000 0.0000

---

Q: Which of them is the most stable? A: w.